# BaSrCr meta-GGA SCAN PBEsol geometry
# Raw total energy   -25.9168 eV/atom
# D(E_F)   3.1 states/eV/f.u.
# Energy relative to the elements   0.820 eV/atom
# Density   3.61 Mg/m³
data_BaSrCr
_chemical_formula_sum 'Ba4 Sr4 Cr4'
_cell_length_a 7.9873
_cell_length_b 7.9873
_cell_length_c 7.9873
_cell_angle_alpha 90.00
_cell_angle_beta 90.00
_cell_angle_gamma 90.00
_symmetry_space_group_name_H-M 'F -4 3 m'
_symmetry_Int_Tables_number 216
_symmetry_space_group_name_Hall 'F -4 2 3'
loop_
_atom_site_label
_atom_site_type_symbol
_atom_site_fract_x
_atom_site_fract_y
_atom_site_fract_z
Ba1 Ba 0.0000 0.0000 0.0000
Sr1 Sr 0.2500 0.2500 0.2500
Cr1 Cr 0.0000 0.0000 0.5000

# LaZnCuP2 meta-GGA SCAN PBEsol geometry
# Raw total energy   -19.4033 eV/atom
# D(E_F)   0.0 states/eV/f.u.
# Energy relative to the elements   -0.880 eV/atom
# Density   5.87 Mg/m³
data_LaZnCuP2
_chemical_formula_sum 'La1 Zn1 Cu1 P2'
_cell_length_a 4.0114
_cell_length_b 4.0114
_cell_length_c 6.6924
_cell_angle_alpha 90.00
_cell_angle_beta 90.00
_cell_angle_gamma 120.00
_symmetry_space_group_name_H-M 'P 3 m 1'
_symmetry_Int_Tables_number 156
_symmetry_space_group_name_Hall 'P 3 -2"'
loop_
_atom_site_label
_atom_site_type_symbol
_atom_site_fract_x
_atom_site_fract_y
_atom_site_fract_z
La1 La 0.0000 0.0000 0.0000
Zn1 Zn 0.3333 0.6667 0.6123
Cu1 Cu 0.6667 0.3333 0.3481
P1 P 0.3333 0.6667 0.2560
P2 P 0.6667 0.3333 0.7170

# Zn5Ag meta-GGA SCAN PBEsol geometry
# Raw total energy   -16.4707 eV/atom
# D(E_F)   1.7 states/eV/f.u.
# Energy relative to the elements   0.020 eV/atom
# Density   8.36 Mg/m³
data_Zn5Ag
_chemical_formula_sum 'Zn5 Ag1'
_cell_length_a 2.7653
_cell_length_b 2.7653
_cell_length_c 11.3004
_cell_angle_alpha 90.00
_cell_angle_beta 90.00
_cell_angle_gamma 90.00
_symmetry_space_group_name_H-M 'P 4/m m m'
_symmetry_Int_Tables_number 123
_symmetry_space_group_name_Hall '-P 4 2'
loop_
_atom_site_label
_atom_site_type_symbol
_atom_site_fract_x
_atom_site_fract_y
_atom_site_fract_z
Zn1 Zn 0.0000 0.0000 0.0000
Zn2 Zn 0.0000 0.0000 0.3245
Zn3 Zn 0.5000 0.5000 0.1631
Ag1 Ag 0.5000 0.5000 0.5000

# HfSnPd2W meta-GGA SCAN PBEsol geometry
# Raw total energy   -45.1920 eV/atom
# D(E_F)   3.3 states/eV/f.u.
# Energy relative to the elements   1.574 eV/atom
# Density   10.26 Mg/m³
data_HfSnPd2W
_chemical_formula_sum 'Hf1 Sn1 Pd2 W1'
_cell_length_a 4.6640
_cell_length_b 4.6640
_cell_length_c 5.1627
_cell_angle_alpha 90.00
_cell_angle_beta 90.00
_cell_angle_gamma 90.00
_symmetry_space_group_name_H-M 'P 4/m m m'
_symmetry_Int_Tables_number 123
_symmetry_space_group_name_Hall '-P 4 2'
loop_
_atom_site_label
_atom_site_type_symbol
_atom_site_fract_x
_atom_site_fract_y
_atom_site_fract_z
Hf1 Hf 0.0000 0.0000 0.0000
Sn1 Sn 0.0000 0.0000 0.5000
Pd1 Pd 0.0000 0.5000 0.5000
W1 W 0.5000 0.5000 0.0000

# LaAl2Co meta-GGA SCAN PBEsol geometry
# Raw total energy   -18.6913 eV/atom
# D(E_F)   2.3 states/eV/f.u.
# Energy relative to the elements   0.287 eV/atom
# Density   5.60 Mg/m³
data_LaAl2Co
_chemical_formula_sum 'La2 Al4 Co2'
_cell_length_a 5.1908
_cell_length_b 9.8130
_cell_length_c 2.9331
_cell_angle_alpha 90.00
_cell_angle_beta 90.00
_cell_angle_gamma 90.00
_symmetry_space_group_name_H-M 'C m m m'
_symmetry_Int_Tables_number 65
_symmetry_space_group_name_Hall '-C 2 2'
loop_
_atom_site_label
_atom_site_type_symbol
_atom_site_fract_x
_atom_site_fract_y
_atom_site_fract_z
La1 La 0.0000 0.0000 0.0000
Al1 Al 0.2500 0.2500 0.5000
Co1 Co 0.0000 0.5000 0.0000

# Pt4PbAu meta-GGA SCAN PBEsol geometry
# Raw total energy   -70.8968 eV/atom
# D(E_F)   3.6 states/eV/f.u.
# Energy relative to the elements   0.055 eV/atom
# Density   18.50 Mg/m³
data_Pt4PbAu
_chemical_formula_sum 'Pt16 Pb4 Au4'
_cell_length_a 7.5195
_cell_length_b 7.5195
_cell_length_c 7.5195
_cell_angle_alpha 90.00
_cell_angle_beta 90.00
_cell_angle_gamma 90.00
_symmetry_space_group_name_H-M 'F -4 3 m'
_symmetry_Int_Tables_number 216
_symmetry_space_group_name_Hall 'F -4 2 3'
loop_
_atom_site_label
_atom_site_type_symbol
_atom_site_fract_x
_atom_site_fract_y
_atom_site_fract_z
Pt1 Pt 0.1254 0.1254 0.1254
Pb1 Pb 0.2500 0.2500 0.7500
Au1 Au 0.0000 0.0000 0.5000

# RbGa2Hg2 meta-GGA SCAN PBEsol geometry
# Raw total energy   -38.0950 eV/atom
# D(E_F)   2.2 states/eV/f.u.
# Energy relative to the elements   -0.142 eV/atom
# Density   8.03 Mg/m³
data_RbGa2Hg2
_chemical_formula_sum 'Rb2 Ga4 Hg4'
_cell_length_a 4.6993
_cell_length_b 4.6993
_cell_length_c 11.7267
_cell_angle_alpha 90.00
_cell_angle_beta 90.00
_cell_angle_gamma 90.00
_symmetry_space_group_name_H-M 'I 4/m m m'
_symmetry_Int_Tables_number 139
_symmetry_space_group_name_Hall '-I 4 2'
loop_
_atom_site_label
_atom_site_type_symbol
_atom_site_fract_x
_atom_site_fract_y
_atom_site_fract_z
Rb1 Rb 0.0000 0.0000 0.0000
Ga1 Ga 0.0000 0.5000 0.2500
Hg1 Hg 0.0000 0.0000 0.3738

# P5Ru meta-GGA SCAN PBEsol geometry
# Raw total energy   -14.2637 eV/atom
# D(E_F)   2.0 states/eV/f.u.
# Energy relative to the elements   0.206 eV/atom
# Density   4.41 Mg/m³
data_P5Ru
_chemical_formula_sum 'P10 Ru2'
_cell_length_a 3.3518
_cell_length_b 4.2954
_cell_length_c 13.3981
_cell_angle_alpha 90.00
_cell_angle_beta 90.00
_cell_angle_gamma 90.00
_symmetry_space_group_name_H-M 'A m m 2'
_symmetry_Int_Tables_number 38
_symmetry_space_group_name_Hall 'A 2 -2'
loop_
_atom_site_label
_atom_site_type_symbol
_atom_site_fract_x
_atom_site_fract_y
_atom_site_fract_z
P1 P 0.0000 0.0000 0.0000
P2 P 0.0000 0.0000 0.2713
P3 P 0.5000 0.0000 0.1636
P4 P 0.5000 0.0000 0.4606
P5 P 0.5000 0.0000 0.8849
Ru1 Ru 0.0000 0.0000 0.5725

# AlZnCd2Ag meta-GGA SCAN PBEsol geometry
# Raw total energy   -22.1495 eV/atom
# D(E_F)   1.7 states/eV/f.u.
# Energy relative to the elements   0.543 eV/atom
# Density   5.89 Mg/m³
data_AlZnCd2Ag
_chemical_formula_sum 'Al1 Zn1 Cd2 Ag1'
_cell_length_a 5.0751
_cell_length_b 5.0751
_cell_length_c 4.6496
_cell_angle_alpha 90.00
_cell_angle_beta 90.00
_cell_angle_gamma 90.00
_symmetry_space_group_name_H-M 'P 4/m m m'
_symmetry_Int_Tables_number 123
_symmetry_space_group_name_Hall '-P 4 2'
loop_
_atom_site_label
_atom_site_type_symbol
_atom_site_fract_x
_atom_site_fract_y
_atom_site_fract_z
Al1 Al 0.0000 0.0000 0.0000
Zn1 Zn 0.0000 0.0000 0.5000
Cd1 Cd 0.0000 0.5000 0.0000
Ag1 Ag 0.5000 0.5000 0.5000

# LaTe2As meta-GGA SCAN PBEsol geometry
# Raw total energy   -35.2614 eV/atom
# D(E_F)   1.2 states/eV/f.u.
# Raw formation energy   -313 kJ/mol of formula units
# Density   6.87 Mg/m³
data_LaTe2As
_chemical_formula_sum 'La4 Te8 As4'
_cell_length_a 6.2569
_cell_length_b 6.4389
_cell_length_c 11.2556
_cell_angle_alpha 90.00
_cell_angle_beta 90.00
_cell_angle_gamma 90.00
_symmetry_space_group_name_H-M 'F m m m'
_symmetry_Int_Tables_number 69
_symmetry_space_group_name_Hall '-F 2 2'
loop_
_atom_site_label
_atom_site_type_symbol
_atom_site_fract_x
_atom_site_fract_y
_atom_site_fract_z
La1 La 0.0000 0.0000 0.0000
Te1 Te 0.0000 0.2500 0.2500
As1 As 0.0000 0.0000 0.5000

# ScReAs2 meta-GGA SCAN PBEsol geometry
# Raw total energy   -31.7171 eV/atom
# D(E_F)   2.0 states/eV/f.u.
# Energy relative to the elements   -0.288 eV/atom
# Density   9.22 Mg/m³
data_ScReAs2
_chemical_formula_sum 'Sc2 Re2 As4'
_cell_length_a 4.7448
_cell_length_b 3.1542
_cell_length_c 9.1738
_cell_angle_alpha 90.00
_cell_angle_beta 90.00
_cell_angle_gamma 90.00
_symmetry_space_group_name_H-M 'A m m 2'
_symmetry_Int_Tables_number 38
_symmetry_space_group_name_Hall 'A 2 -2'
loop_
_atom_site_label
_atom_site_type_symbol
_atom_site_fract_x
_atom_site_fract_y
_atom_site_fract_z
Sc1 Sc 0.0000 0.0000 0.0000
Re1 Re 0.5000 0.0000 0.6475
As1 As 0.0000 0.0000 0.7263
As2 As 0.5000 0.0000 0.3692

# TiCu2HN meta-GGA SCAN PBEsol geometry
# Raw total energy   -11.7324 eV/atom
# D(E_F)   2.3 states/eV/f.u.
# Density   5.67 Mg/m³
data_TiCu2HN
_chemical_formula_sum 'Ti1 Cu2 H1 N1'
_cell_length_a 3.6852
_cell_length_b 3.6852
_cell_length_c 4.0960
_cell_angle_alpha 90.00
_cell_angle_beta 90.00
_cell_angle_gamma 90.00
_symmetry_space_group_name_H-M 'P 4/m m m'
_symmetry_Int_Tables_number 123
_symmetry_space_group_name_Hall '-P 4 2'
loop_
_atom_site_label
_atom_site_type_symbol
_atom_site_fract_x
_atom_site_fract_y
_atom_site_fract_z
Ti1 Ti 0.0000 0.0000 0.0000
Cu1 Cu 0.0000 0.5000 0.5000
H1 H 0.5000 0.5000 0.0000
N1 N 0.0000 0.0000 0.5000

# NaTi3B meta-GGA SCAN PBEsol geometry
# Raw total energy   -9.6468 eV/atom
# D(E_F)   4.7 states/eV/f.u.
# Energy relative to the elements   2.300 eV/atom
# Density   3.33 Mg/m³
data_NaTi3B
_chemical_formula_sum 'Na1 Ti3 B1'
_cell_length_a 4.4560
_cell_length_b 4.4560
_cell_length_c 4.4560
_cell_angle_alpha 90.00
_cell_angle_beta 90.00
_cell_angle_gamma 90.00
_symmetry_space_group_name_H-M 'P m -3 m'
_symmetry_Int_Tables_number 221
_symmetry_space_group_name_Hall '-P 4 2 3'
loop_
_atom_site_label
_atom_site_type_symbol
_atom_site_fract_x
_atom_site_fract_y
_atom_site_fract_z
Na1 Na 0.0000 0.0000 0.0000
Ti1 Ti 0.0000 0.0000 0.5000
B1 B 0.5000 0.5000 0.5000

# CoSe2 meta-GGA SCAN PBEsol geometry
# Raw total energy   -19.4326 eV/atom
# D(E_F)   0.8 states/eV/f.u.
# Raw formation energy   -81 kJ/mol of formula units
# Density   6.99 Mg/m³
data_CoSe2
_chemical_formula_sum 'Co4 Se8'
_cell_length_a 3.5312
_cell_length_b 12.3263
_cell_length_c 4.7314
_cell_angle_alpha 90.00
_cell_angle_beta 90.00
_cell_angle_gamma 90.00
_symmetry_space_group_name_H-M 'C m c m'
_symmetry_Int_Tables_number 63
_symmetry_space_group_name_Hall '-C 2c 2'
loop_
_atom_site_label
_atom_site_type_symbol
_atom_site_fract_x
_atom_site_fract_y
_atom_site_fract_z
Co1 Co 0.0000 0.1663 0.2500
Se1 Se 0.0000 0.2057 0.7500
Se2 Se 0.0000 0.4547 0.7500